Entry 1:
A relaxed structure of LiTl3Os, computed with PBE.

ΔE_f, eV per formula unit: 2.085
Calculated volume, Å³/f.u.: 150.5
Magnetic moment, μB per atom: 0.00

The structure in POSCAR format:
```
LiTl3Os
1.0
5.319 0.000 0.000
0.000 5.319 0.000
0.000 0.000 5.319
Li Tl Os
1 3 1
direct
0.000 0.000 0.000 Li
0.000 0.500 0.500 Tl
0.500 0.000 0.500 Tl
0.500 0.500 0.000 Tl
0.500 0.500 0.500 Os
```



Entry 2:
A relaxed structure of Li4TlOs, computed with PBE.

ΔE_f, eV per formula unit: 1.792
Calculated volume, Å³/f.u.: 85.8
Magnetic moment, μB per atom: 0.00

The structure in POSCAR format:
```
Li4TlOs
1.0
0.000 3.501 3.501
3.501 0.000 3.501
3.501 3.501 0.000
Li Tl Os
4 1 1
direct
0.122 0.122 0.122 Li
0.122 0.122 0.633 Li
0.122 0.633 0.122 Li
0.633 0.122 0.122 Li
0.500 0.500 0.500 Tl
0.750 0.750 0.750 Os
```



Entry 3:
A relaxed structure of LiTlOs2, computed with PBE.

ΔE_f, eV per formula unit: 2.848
Calculated volume, Å³/f.u.: 63.9
Magnetic moment, μB per atom: 0.00

The structure in POSCAR format:
```
LiTlOs2
1.0
-1.880 1.880 4.519
1.880 -1.880 4.519
1.880 1.880 -4.519
Li Tl Os
1 1 2
direct
0.000 0.000 0.000 Li
0.500 0.500 0.000 Tl
0.250 0.750 0.500 Os
0.750 0.250 0.500 Os
```



Entry 4:
A relaxed structure of LiTlOs2, computed with PBE.

ΔE_f, eV per formula unit: 3.099
Calculated volume, Å³/f.u.: 66.9
Magnetic moment, μB per atom: 0.00

The structure in POSCAR format:
```
LiTlOs2
1.0
2.753 0.000 0.000
0.000 4.342 0.000
0.000 0.000 5.593
Li Tl Os
1 1 2
direct
0.000 0.000 0.000 Li
0.000 0.000 0.500 Tl
0.500 0.500 0.208 Os
0.500 0.500 0.792 Os
```



Entry 5:
A relaxed structure of LiTlOs2, computed with PBE.

ΔE_f, eV per formula unit: 2.448
Calculated volume, Å³/f.u.: 64.8
Magnetic moment, μB per atom: 0.00

The structure in POSCAR format:
```
LiTlOs2
1.0
2.814 0.000 0.000
0.000 4.677 0.000
-0.179 0.000 4.922
Li Tl Os
1 1 2
direct
0.000 0.000 0.000 Li
0.500 0.000 0.500 Tl
0.247 0.500 0.784 Os
0.753 0.500 0.216 Os
```



Entry 6:
A relaxed structure of Li2TlOs, computed with PBE.

ΔE_f, eV per formula unit: 2.615
Calculated volume, Å³/f.u.: 68.2
Magnetic moment, μB per atom: 0.22

The structure in POSCAR format:
```
Li2TlOs
1.0
-3.560 3.560 2.693
3.560 -3.560 2.693
3.560 3.560 -2.693
Li Tl Os
4 2 2
direct
0.113 0.625 0.988 Li
0.375 0.363 0.488 Li
0.637 0.125 0.012 Li
0.875 0.887 0.512 Li
0.250 0.750 0.500 Tl
0.500 0.500 0.000 Tl
0.000 0.000 0.000 Os
0.750 0.250 0.500 Os
```



Entry 7:
A relaxed structure of LiTlOs2, computed with PBE.

ΔE_f, eV per formula unit: 2.298
Calculated volume, Å³/f.u.: 64.0
Magnetic moment, μB per atom: 0.00

The structure in POSCAR format:
```
LiTlOs2
1.0
4.633 -1.424 0.000
4.633 1.424 0.000
-0.645 0.000 4.854
Li Tl Os
1 1 2
direct
0.000 0.000 0.000 Li
0.500 0.500 0.500 Tl
0.250 0.250 0.784 Os
0.750 0.750 0.216 Os
```



Entry 8:
A relaxed structure of Li2TlOs, computed with PBE.

ΔE_f, eV per formula unit: 1.410
Calculated volume, Å³/f.u.: 66.2
Magnetic moment, μB per atom: 0.00

The structure in POSCAR format:
```
Li2TlOs
1.0
4.733 -1.359 0.000
4.733 1.359 0.000
-0.511 0.000 5.149
Li Tl Os
2 1 1
direct
0.000 0.000 0.000 Li
0.240 0.240 0.749 Li
0.748 0.748 0.259 Tl
0.497 0.497 0.525 Os
```



Entry 9:
A relaxed structure of LiTlOs, computed with PBE.

ΔE_f, eV per formula unit: 1.756
Calculated volume, Å³/f.u.: 51.0
Magnetic moment, μB per atom: 0.00

The structure in POSCAR format:
```
LiTlOs
1.0
-1.384 2.179 4.227
1.384 -2.179 4.227
1.384 2.179 -4.227
Li Tl Os
1 1 1
direct
0.000 0.000 0.000 Li
0.325 0.325 0.000 Tl
0.660 0.660 0.000 Os
```



Entry 10:
A relaxed structure of LiTlOs2, computed with PBE.

ΔE_f, eV per formula unit: 2.136
Calculated volume, Å³/f.u.: 68.1
Magnetic moment, μB per atom: 0.00

The structure in POSCAR format:
```
LiTlOs2
1.0
4.169 -1.422 0.000
4.169 1.422 0.000
-0.742 0.000 5.740
Li Tl Os
1 1 2
direct
0.000 0.000 0.000 Li
0.248 0.248 0.752 Tl
0.496 0.496 0.417 Os
0.746 0.746 0.249 Os
```



Entry 11:
A relaxed structure of Li2TlOs, computed with PBE.

ΔE_f, eV per formula unit: 1.536
Calculated volume, Å³/f.u.: 61.5
Magnetic moment, μB per atom: 0.00

The structure in POSCAR format:
```
Li2TlOs
1.0
-1.442 2.308 4.619
1.442 -2.308 4.619
1.442 2.308 -4.619
Li Tl Os
2 1 1
direct
0.000 0.000 0.000 Li
0.768 0.268 0.500 Li
0.519 0.519 0.000 Tl
0.246 0.746 0.500 Os
```



Entry 12:
A relaxed structure of Li2TlOs, computed with PBE.

ΔE_f, eV per formula unit: 1.371
Calculated volume, Å³/f.u.: 65.1
Magnetic moment, μB per atom: 0.00

The structure in POSCAR format:
```
Li2TlOs
1.0
2.736 0.000 0.000
0.000 4.448 0.000
-1.114 0.000 5.352
Li Tl Os
2 1 1
direct
0.000 0.000 0.000 Li
0.030 0.500 0.757 Li
0.350 0.000 0.494 Tl
0.658 0.500 0.219 Os
```